(1)
18
Lattice="8.3170 -3.7356 0.0000 8.3170 3.7356 0.0000 0.0000 0.0000 7.4422" Properties=species:S:1:pos:R:3 comment="Er5Hg2Au2 PBE optimized geometry" total_energy_ev_per_cell=-70.35 dos_at_fermi_per_ev_cell=16.055 rho_g_cm3=11.7 pbc="T T T"
Er 0.0000 0.0000 0.0000
Er 6.0910 2.4229 4.9827
Er 6.0910 1.3127 1.2616
Er 10.5431 2.4229 4.9827
Er 10.5431 1.3127 1.2616
Er 8.3170 0.0000 3.7211
Er 6.0910 -1.3127 6.1805
Er 6.0910 -2.4229 2.4595
Er 10.5431 -1.3127 6.1805
Er 10.5431 -2.4229 2.4595
Hg 3.6093 0.0000 0.0000
Hg 4.7077 0.0000 3.7211
Hg 11.9263 0.0000 3.7211
Hg 13.0248 0.0000 0.0000
Au 8.3170 2.7324 2.7203
Au 8.3170 1.0032 6.4414
Au 8.3170 -1.0032 1.0008
Au 8.3170 -2.7324 4.7219

(2)
3
Lattice="4.8080 0.0000 0.0000 -2.4040 4.1638 0.0000 0.0000 0.0000 3.3667" Properties=species:S:1:pos:R:3 comment="ErHgAu PBE optimized geometry" total_energy_ev_per_cell=-9.84 dos_at_fermi_per_ev_cell=1.793 rho_g_cm3=13.9 pbc="T T T"
Er 0.0000 0.0000 0.0000
Hg 0.0000 2.7759 1.6833
Au 2.4040 1.3879 1.6833

(3)
4
Lattice="4.3448 0.0000 0.0000 0.0000 4.3448 0.0000 0.0000 0.0000 4.8499" Properties=species:S:1:pos:R:3 comment="ErHg2Au PBE optimized geometry" total_energy_ev_per_cell=-9.98 polymorph_energy_ev_per_fu=0.22 dos_at_fermi_per_ev_cell=2.667 rho_g_cm3=13.9 pbc="T T T"
Er 0.0000 0.0000 0.0000
Hg 0.0000 2.1724 2.4249
Hg 2.1724 0.0000 2.4249
Au 2.1724 2.1724 0.0000

(4)
18
Lattice="7.0660 -5.6980 0.0000 7.0660 5.6980 0.0000 -0.9374 0.0000 5.2185" Properties=species:S:1:pos:R:3 comment="Er3Hg4Au2 PBE optimized geometry" total_energy_ev_per_cell=-52.26 dos_at_fermi_per_ev_cell=8.428 rho_g_cm3=13.4 pbc="T T T"
Er 6.3630 4.3841 3.9138
Er 3.7856 1.4944 4.8085
Er 4.2543 -1.4944 2.1993
Er 8.9404 1.4944 3.0192
Er 9.4091 -1.4944 0.4099
Er 6.8317 -4.3841 1.3046
Hg 2.7430 1.3447 1.9130
Hg 5.8225 1.4451 2.4790
Hg 2.2744 -1.3447 4.5223
Hg 7.8409 1.4451 0.1302
Hg 5.3538 -1.4451 5.0883
Hg 10.9203 1.3447 0.6962
Hg 7.3722 -1.4451 2.7394
Hg 10.4517 -1.3447 3.3054
Au 5.3516 4.2124 0.9811
Au 8.3118 4.2124 1.6281
Au 4.8829 -4.2124 3.5903
Au 7.8431 -4.2124 4.2374

(5)
6
Lattice="5.2316 0.0000 0.0000 2.6143 4.6025 0.0000 0.0406 1.5068 5.7264" Properties=species:S:1:pos:R:3 comment="ErHgAu PBE optimized geometry" total_energy_ev_per_cell=-19.91 dos_at_fermi_per_ev_cell=2.883 rho_g_cm3=13.6 pbc="T T T"
Er 1.3157 0.7414 1.2735
Er 6.5708 5.3679 4.4529
Hg 3.9540 3.8503 4.2002
Hg 3.9325 2.2590 1.5261
Au 1.3399 2.2675 4.0935
Au 6.5466 3.8418 1.6329

(6)
12
Lattice="7.1759 0.0000 0.0000 0.0000 7.1486 0.0000 -0.2399 0.0000 7.0477" Properties=species:S:1:pos:R:3 comment="Er4HgAu PBE optimized geometry" total_energy_ev_per_cell=-46.74 dos_at_fermi_per_ev_cell=17.918 rho_g_cm3=9.8 pbc="T T T"
Er 1.0470 1.1276 1.1681
Er 0.9270 2.4467 4.6920
Er 2.3912 4.6525 0.9737
Er 2.2712 6.0704 4.4975
Er 4.6648 1.0782 2.5502
Er 4.5448 2.4961 6.0740
Er 6.0090 4.7019 2.3558
Er 5.8890 6.0210 5.8796
Hg 3.5879 0.0000 0.0000
Hg 3.4680 3.5743 3.5239
Au -0.1199 0.0000 3.5239
Au 0.0000 3.5743 0.0000

(7)
18
Lattice="7.0019 -5.5732 0.0000 7.0019 5.5732 0.0000 -1.0029 0.0000 5.1424" Properties=species:S:1:pos:R:3 comment="Er3Hg2Au4 PBE optimized geometry" total_energy_ev_per_cell=-66.33 dos_at_fermi_per_ev_cell=8.777 rho_g_cm3=14.0 pbc="T T T"
Er 6.2497 4.0226 3.8568
Er 3.8000 1.3368 4.7098
Er 4.3014 -1.3368 2.1386
Er 8.6995 1.3368 3.0038
Er 9.2009 -1.3368 0.4326
Er 6.7512 -4.0226 1.2856
Hg 5.2136 4.2600 0.9982
Hg 8.2888 4.2600 1.5730
Hg 4.7121 -4.2600 3.5694
Hg 7.7873 -4.2600 4.1441
Au 2.8077 1.4646 1.8260
Au 5.7552 1.3817 2.4283
Au 2.3063 -1.4646 4.3972
Au 7.7471 1.3817 0.1429
Au 5.2538 -1.3817 4.9995
Au 10.6946 1.4646 0.7452
Au 7.2457 -1.3817 2.7141
Au 10.1932 -1.4646 3.3164

(8)
4
Lattice="0.0000 3.5127 3.5127 3.5127 0.0000 3.5127 3.5127 3.5127 0.0000" Properties=species:S:1:pos:R:3 comment="ErHg2Au PBE optimized geometry" total_energy_ev_per_cell=-10.01 polymorph_energy_ev_per_fu=0.19 dos_at_fermi_per_ev_cell=1.348 rho_g_cm3=14.7 pbc="T T T"
Er 0.0000 0.0000 0.0000
Hg 1.7564 1.7564 1.7564
Hg 5.2691 5.2691 5.2691
Au 3.5127 3.5127 3.5127